Below is Ac2DySi3Pt4 after structural relaxation, with properties calculated at the PBE level.

Cell: 4.408 4.408 10.821 Å, 90.00 90.00 90.00°
Atoms (fractional coordinates):
1 Ac 0.000 0.500 0.232
2 Ac 0.500 0.000 0.768
3 Dy 0.000 0.000 0.500
4 Si 0.000 0.500 0.886
5 Si 0.500 0.000 0.114
6 Si 0.500 0.500 0.500
7 Pt 0.000 0.000 0.000
8 Pt 0.000 0.500 0.658
9 Pt 0.500 0.000 0.342
10 Pt 0.500 0.500 0.000

Output
Total magnetization ... 0.00 μB per formula unit
Raw total energy ... -6.366 eV/atom
E_form (uncorrected) ... -1.04 eV/atom
Crystal system ... tetragonal
Density of states at the Fermi level ... 5.7 states/eV per cell
Space group ... No. 115